# 1
DFT (PBE) results for an optimized crystal structure of Ho3Ni5Te12. Values from VASP.

Geometry as Quantum ESPRESSO input:
```
&SYSTEM
  ibrav = 0, nat = 80, ntyp = 3
/
ATOMIC_SPECIES
Te 127.60 Te.upf
Ni 58.69 Ni.upf
Ho 164.93 Ho.upf
CELL_PARAMETERS angstrom
-10.294 -5.399 8.019
8.638 -10.362 -4.178
7.307 9.491 7.481
ATOMIC_POSITIONS crystal
Te 0.090 0.914 0.118
Te 0.824 0.914 0.296
Te 0.090 0.176 0.472
Te 0.914 0.090 0.618
Te 0.028 0.618 0.704
Te 0.086 0.910 0.382
Te 0.676 0.472 0.590
Te 0.414 0.296 0.324
Te 0.972 0.382 0.296
Te 0.824 0.910 0.028
Te 0.382 0.410 0.086
Te 0.618 0.590 0.914
Te 0.118 0.414 0.090
Te 0.472 0.796 0.882
Te 0.590 0.972 0.676
Te 0.882 0.586 0.910
Te 0.796 0.472 0.382
Te 0.914 0.824 0.796
Te 0.618 0.028 0.204
Te 0.910 0.086 0.882
Te 0.118 0.704 0.528
Te 0.586 0.704 0.676
Te 0.590 0.618 0.414
Te 0.910 0.824 0.528
Te 0.882 0.296 0.472
Te 0.704 0.118 0.028
Te 0.204 0.676 0.086
Te 0.528 0.204 0.118
Te 0.704 0.586 0.176
Te 0.676 0.204 0.586
Te 0.382 0.972 0.796
Te 0.972 0.590 0.176
Te 0.414 0.118 0.590
Te 0.472 0.676 0.090
Te 0.324 0.796 0.414
Te 0.296 0.882 0.972
Te 0.086 0.176 0.204
Te 0.586 0.882 0.410
Te 0.176 0.086 0.704
Te 0.028 0.410 0.824
Te 0.176 0.090 0.972
Te 0.204 0.528 0.618
Te 0.410 0.028 0.324
Te 0.528 0.324 0.910
Te 0.324 0.528 0.410
Te 0.410 0.382 0.586
Te 0.796 0.324 0.914
Te 0.296 0.414 0.824
Ni 0.875 0.625 0.750
Ni 0.875 0.250 0.625
Ni 0.000 0.500 0.000
Ni 0.250 0.875 0.125
Ni 0.500 0.500 0.500
Ni 0.375 0.125 0.750
Ni 0.375 0.250 0.125
Ni 0.750 0.625 0.375
Ni 0.625 0.750 0.875
Ni 0.000 0.000 0.000
Ni 0.625 0.875 0.250
Ni 0.125 0.375 0.250
Ni 0.125 0.750 0.375
Ni 0.500 0.000 0.000
Ni 0.500 0.000 0.500
Ni 0.000 0.000 0.500
Ni 0.250 0.375 0.625
Ni 0.750 0.125 0.875
Ni 0.500 0.500 0.000
Ni 0.000 0.500 0.500
Ho 0.750 0.375 0.125
Ho 0.750 0.875 0.625
Ho 0.250 0.625 0.875
Ho 0.875 0.750 0.125
Ho 0.125 0.250 0.875
Ho 0.375 0.625 0.250
Ho 0.875 0.125 0.250
Ho 0.625 0.375 0.750
Ho 0.125 0.875 0.750
Ho 0.250 0.125 0.375
Ho 0.375 0.750 0.625
Ho 0.625 0.250 0.375
```

## Properties
**Total DFT energy (no corrections)**: -360.6 eV for the cell shown
**Formation energy without anion corrections**: -11.31 kcal/mol of atoms

=====

# 2
DFT (PBE) results for an optimized crystal structure of Ho2ThNi2. Values from VASP.

Geometry as Quantum ESPRESSO input:
```
&SYSTEM
  ibrav = 0, nat = 10, ntyp = 3
/
ATOMIC_SPECIES
Ho 164.93 Ho.upf
Th 232.04 Th.upf
Ni 58.69 Ni.upf
CELL_PARAMETERS angstrom
4.188 0.000 0.000
0.000 5.218 1.679
0.000 1.648 11.459
ATOMIC_POSITIONS crystal
Ho 0.750 0.787 0.457
Ho 0.250 0.213 0.543
Ho 0.250 0.968 0.883
Ho 0.750 0.032 0.117
Th 0.250 0.461 0.205
Th 0.750 0.539 0.795
Ni 0.750 0.620 0.021
Ni 0.750 0.372 0.366
Ni 0.250 0.380 0.979
Ni 0.250 0.628 0.634
```

## Properties
**Total DFT energy (no corrections)**: -59.4 eV for the cell shown
**Offset from the most stable computed form**: 0.0431 eV per atom
**Formation energy**: -0.313 eV/atom

=====

# 3
DFT (PBE) results for an optimized crystal structure of HoTh2Ni. Values from VASP.

Geometry as Quantum ESPRESSO input:
```
&SYSTEM
  ibrav = 0, nat = 16, ntyp = 3
/
ATOMIC_SPECIES
Ho 164.93 Ho.upf
Ni 58.69 Ni.upf
Th 232.04 Th.upf
CELL_PARAMETERS angstrom
6.165 0.000 0.000
0.000 6.990 0.000
0.000 0.000 9.952
ATOMIC_POSITIONS crystal
Ho 0.159 0.953 0.750
Ho 0.841 0.047 0.250
Ho 0.341 0.453 0.750
Ho 0.659 0.547 0.250
Ni 0.399 0.892 0.250
Ni 0.101 0.392 0.250
Ni 0.601 0.108 0.750
Ni 0.899 0.608 0.750
Th 0.655 0.816 0.563
Th 0.155 0.684 0.063
Th 0.345 0.184 0.437
Th 0.345 0.184 0.063
Th 0.655 0.816 0.937
Th 0.845 0.316 0.937
Th 0.845 0.316 0.563
Th 0.155 0.684 0.437
```

## Properties
**Total DFT energy (no corrections)**: -104.0 eV for the cell shown
**Offset from the most stable computed form**: 0.0205 eV per atom
**Formation energy**: -0.202 eV/atom

=====

# 4
DFT (PBE) results for an optimized crystal structure of HoThNi10. Values from VASP.

Geometry as Quantum ESPRESSO input:
```
&SYSTEM
  ibrav = 0, nat = 12, ntyp = 3
/
ATOMIC_SPECIES
Ni 58.69 Ni.upf
Ho 164.93 Ho.upf
Th 232.04 Th.upf
CELL_PARAMETERS angstrom
3.979 0.000 0.000
0.000 4.908 0.000
0.000 0.000 8.486
ATOMIC_POSITIONS crystal
Ni 0.500 0.251 0.252
Ni 0.000 0.500 0.831
Ni 0.500 0.000 0.500
Ni 0.000 0.500 0.169
Ni 0.000 0.000 0.335
Ni 0.500 0.500 0.000
Ni 0.500 0.749 0.252
Ni 0.500 0.251 0.748
Ni 0.000 0.000 0.665
Ni 0.500 0.749 0.748
Ho 0.000 0.500 0.500
Th 0.000 0.000 0.000
```

## Properties
**Total DFT energy (no corrections)**: -74.2 eV for the cell shown
**Formation energy**: -0.369 eV/atom

=====

# 5
DFT (PBE) results for an optimized crystal structure of HoTh2Ni9. Values from VASP.

Geometry as Quantum ESPRESSO input:
```
&SYSTEM
  ibrav = 0, nat = 12, ntyp = 3
/
ATOMIC_SPECIES
Th 232.04 Th.upf
Ni 58.69 Ni.upf
Ho 164.93 Ho.upf
CELL_PARAMETERS angstrom
-3.245 -3.333 1.790
0.009 -4.670 -1.741
4.400 -4.848 5.893
ATOMIC_POSITIONS crystal
Th 0.136 0.136 0.593
Th 0.864 0.864 0.407
Ni 0.333 0.333 0.001
Ni 0.419 0.419 0.243
Ni 0.419 0.920 0.243
Ni 0.581 0.080 0.757
Ni 0.581 0.581 0.757
Ni 0.920 0.419 0.243
Ni 0.667 0.667 0.999
Ni 0.080 0.581 0.757
Ni 0.500 0.500 0.500
Ho 0.000 0.000 0.000
```

## Properties
**Total DFT energy (no corrections)**: -76.4 eV for the cell shown
**Formation energy**: -0.409 eV/atom

=====

# 6
DFT (PBE) results for an optimized crystal structure of HoTh3Ni8. Values from VASP.

Geometry as Quantum ESPRESSO input:
```
&SYSTEM
  ibrav = 0, nat = 12, ntyp = 3
/
ATOMIC_SPECIES
Ni 58.69 Ni.upf
Th 232.04 Th.upf
Ho 164.93 Ho.upf
CELL_PARAMETERS angstrom
5.155 0.000 0.000
2.577 4.464 0.000
2.577 1.488 8.412
ATOMIC_POSITIONS crystal
Ni 0.938 0.938 0.684
Ni 0.436 0.436 0.191
Ni 0.936 0.436 0.191
Ni 0.436 0.936 0.191
Ni 0.938 0.441 0.684
Ni 0.188 0.188 0.437
Ni 0.441 0.938 0.684
Ni 0.688 0.688 0.937
Th 0.374 0.374 0.877
Th 0.999 0.999 0.003
Th 0.501 0.501 0.496
Ho 0.875 0.875 0.375
```

## Properties
**Total DFT energy (no corrections)**: -77.6 eV for the cell shown
**Formation energy**: -0.375 eV/atom